DFT (PBE-GGA) results for a relaxed NaReIr2 crystal.

```
NaReIr2
1.0
7.3195 0.0000 0.0000
0.0000 7.3195 0.0000
3.6598 3.6598 2.7342
Re Ir Na
2 4 2
direct
0.0000 0.0000 0.0000 Re
0.7500 0.2500 0.5000 Re
0.6772 0.1250 0.2500 Ir
0.0728 0.6250 0.2500 Ir
0.3750 0.3228 0.7500 Ir
0.8750 0.9272 0.7500 Ir
0.5000 0.5000 0.0000 Na
0.2500 0.7500 0.5000 Na
```

## Properties
The value obtained for the offset from the most stable computed form is 0.221 eV/atom. For the total moment, the calculation gives 0.00 μB per atom. The calculation puts the formation enthalpy at 0 K at 775 meV/atom.

---

DFT (PBE-GGA) results for a relaxed Na2ReIr crystal.

```
Na2ReIr
1.0
8.4640 0.0000 0.0000
0.0000 8.4640 0.0000
4.2320 4.2320 2.4430
Re Ir Na
2 2 4
direct
0.5000 0.5000 0.0000 Re
0.2500 0.7500 0.5000 Re
0.0000 0.0000 0.0000 Ir
0.7500 0.2500 0.5000 Ir
0.6628 0.1250 0.2500 Na
0.0872 0.6250 0.2500 Na
0.3750 0.3372 0.7500 Na
0.8750 0.9128 0.7500 Na
```

## Properties
The value obtained for the offset from the most stable computed form is 0.000 eV/atom. For the total moment, the calculation gives 0.67 μB per atom. The calculation puts the formation enthalpy at 0 K at 1356 meV/atom.

---

DFT (PBE-GGA) results for a relaxed NaVReIr2 crystal.

```
NaVReIr2
1.0
-0.1974 4.0022 1.7285
-3.8579 0.5088 -1.6186
-1.7458 -1.6580 3.6397
Re Ir Na V
1 2 1 1
direct
0.5000 0.5000 0.5000 Re
0.0000 0.0000 0.5000 Ir
0.5000 0.0000 0.0000 Ir
0.0000 0.0000 0.0000 Na
0.0000 0.5000 0.0000 V
```

## Properties
For the total moment, the calculation gives 0.13 μB per atom. The calculation puts the formation enthalpy at 0 K at 2223 meV/atom.

---

DFT (PBE-GGA) results for a relaxed NaIr2Rh2 crystal.

```
NaIr2Rh2
1.0
-6.6602 -3.2844 -2.1863
2.6060 -0.4413 -7.2760
1.0358 -2.4461 0.5193
Na Ir Rh
2 4 4
direct
0.0000 0.0000 0.0000 Na
0.5000 0.5000 0.0000 Na
0.3815 0.8815 0.0000 Ir
0.8815 0.6185 0.0000 Ir
0.6185 0.1185 0.0000 Ir
0.1185 0.3815 0.0000 Ir
0.1786 0.6786 0.5000 Rh
0.6786 0.8214 0.5000 Rh
0.8214 0.3214 0.5000 Rh
0.3214 0.1786 0.5000 Rh
```

## Properties
The value obtained for the offset from the most stable computed form is 0.000 eV/atom. For the total moment, the calculation gives 0.00 μB per atom. The calculation puts the formation enthalpy at 0 K at 137 meV/atom.

---

DFT (PBE-GGA) results for a relaxed NaIr3Rh crystal.

```
NaIr3Rh
1.0
4.7751 0.0000 0.0000
0.0000 4.7751 0.0000
0.0000 0.0000 4.7751
Na Ir Rh
1 3 1
direct
0.5000 0.5000 0.5000 Na
0.0000 0.5000 0.0000 Ir
0.0000 0.0000 0.5000 Ir
0.5000 0.0000 0.0000 Ir
0.0000 0.0000 0.0000 Rh
```

## Properties
The value obtained for the offset from the most stable computed form is 0.000 eV/atom. For the total moment, the calculation gives 0.14 μB per atom. The calculation puts the formation enthalpy at 0 K at 1620 meV/atom.

---

DFT (PBE-GGA) results for a relaxed NaIr2Rh crystal.

```
NaIr2Rh
1.0
7.5924 0.0000 0.0000
0.0000 7.5924 0.0000
3.7962 3.7962 2.4808
Na Ir Rh
2 4 2
direct
0.5000 0.5000 0.0000 Na
0.2500 0.7500 0.5000 Na
0.6785 0.1250 0.2500 Ir
0.0715 0.6250 0.2500 Ir
0.3750 0.3215 0.7500 Ir
0.8750 0.9285 0.7500 Ir
0.0000 0.0000 0.0000 Rh
0.7500 0.2500 0.5000 Rh
```

## Properties
The value obtained for the offset from the most stable computed form is 0.106 eV/atom. For the total moment, the calculation gives 0.00 μB per atom. The calculation puts the formation enthalpy at 0 K at 764 meV/atom.